DFT (PBE) results for a geometry-optimized Tb2Fe7 structure.

Geometry as CIF:
```
data_Tb2Fe7
_cell_length_a 5.0518
_cell_length_b 5.0518
_cell_length_c 12.4233
_cell_angle_alpha 78.27
_cell_angle_beta 78.27
_cell_angle_gamma 60.00
_symmetry_space_group_name_H-M 'P 1'
_symmetry_Int_Tables_number 1
_symmetry_space_group_name_Hall 'P 1'
loop_
_atom_site_label
_atom_site_type_symbol
_atom_site_fract_x
_atom_site_fract_y
_atom_site_fract_z
_atom_site_occupancy
Tb1 Tb 0.0514 0.0514 0.8458 1
Tb2 Tb 0.9486 0.9486 0.1542 1
Tb3 Tb 0.1490 0.1490 0.5530 1
Tb4 Tb 0.8510 0.8510 0.4470 1
Fe1 Fe 0.5000 0.5000 0.5000 1
Fe2 Fe 0.2796 0.2796 0.1613 1
Fe3 Fe 0.7204 0.7204 0.8387 1
Fe4 Fe 0.3866 0.3866 0.8402 1
Fe5 Fe 0.6134 0.6134 0.1598 1
Fe6 Fe 0.5000 0.0000 0.0000 1
Fe7 Fe 0.0000 0.5000 0.0000 1
Fe8 Fe 0.5000 0.5000 0.0000 1
Fe9 Fe 0.6077 0.6077 0.6739 1
Fe10 Fe 0.6077 0.1107 0.6739 1
Fe11 Fe 0.1107 0.6077 0.6739 1
Fe12 Fe 0.3923 0.3923 0.3261 1
Fe13 Fe 0.3923 0.8893 0.3261 1
Fe14 Fe 0.8893 0.3923 0.3261 1
```

SG ... R-3m
Calculated total energy ... -7.65 eV per atom
Mass density ... 8.82 g/cm3
V ... 14.828 Å³/atom